# La3Y4Th PBE-GGA optimized geometry
data_La3Y4Th
_space_group_name_H-M_alt 'C m m m'
_space_group_IT_number 65
_space_group_name_Hall '-C 2 2'
_cell_length_a 12.013
_cell_length_b 13.551
_cell_length_c 3.429
_cell_angle_alpha 90.00
_cell_angle_beta 90.00
_cell_angle_gamma 90.00
loop_
_atom_site_label
_atom_site_fract_x
_atom_site_fract_y
_atom_site_fract_z
La1 0.000 0.000 0.000
La2 0.250 0.250 0.500
Y1 0.000 0.253 0.000
Y2 0.239 0.500 0.500
Th1 0.000 0.500 0.000
# D(E_F) = 35.52 states/eV per cell
# energy of formation from the pure elements = 0.393 eV per atom
# energy relative to the lowest polymorph listed for this composition = 250 meV/atom
# final energy = -89.8 eV per cell